No. 1
An optimized crystal structure of La4Rh3. Source: Alexandria via LeMat-Bulk, functional PBE-GGA.

energy of formation from the pure elements: -27 kJ per mole of atoms
uncorrected energy: -6.25 eV per atom
energy relative to the lowest polymorph listed for this composition: 0.4283 eV per atom

a = 5.6782 Å, b = 5.6782 Å, c = 5.8851 Å
α = 90.00°, β = 90.00°, γ = 120.00°
Positions (direct):
La1 0.3333 0.6667 0.5000
La2 0.0000 0.0000 0.2382
La3 0.6667 0.3333 0.5000
La4 0.0000 0.0000 0.7618
Rh1 0.5000 0.5000 0.0000
Rh2 0.0000 0.5000 0.0000
Rh3 0.5000 0.0000 0.0000



No. 2
An optimized crystal structure of LaRh2. Source: Alexandria via LeMat-Bulk, functional PBE-GGA.

energy of formation from the pure elements: -30 kJ per mole of atoms
uncorrected energy: -6.85 eV per atom

a = 3.8223 Å, b = 3.8223 Å, c = 4.4935 Å
α = 90.00°, β = 90.00°, γ = 90.00°
Positions (direct):
Rh1 0.0000 0.5000 0.5000
Rh2 0.5000 0.0000 0.5000
La1 0.0000 0.0000 0.0000



No. 3
An optimized crystal structure of La2Rh. Source: Alexandria via LeMat-Bulk, functional PBE-GGA.

energy of formation from the pure elements: -7 kJ per mole of atoms
uncorrected energy: -5.81 eV per atom

a = 5.0623 Å, b = 5.0623 Å, c = 3.2056 Å
α = 90.00°, β = 90.00°, γ = 120.00°
Positions (direct):
Rh1 0.0000 0.0000 0.0000
La1 0.6667 0.3333 0.5000
La2 0.3333 0.6667 0.5000



No. 4
An optimized crystal structure of La2Rh. Source: Alexandria via LeMat-Bulk, functional PBE-GGA.

energy of formation from the pure elements: -49 kJ per mole of atoms
uncorrected energy: -6.24 eV per atom

a = 5.0339 Å, b = 7.6239 Å, c = 7.6239 Å
α = 120.00°, β = 90.00°, γ = 90.00°
Positions (direct):
Rh1 0.0000 0.3333 0.6667
Rh2 0.5000 0.0000 0.0000
Rh3 0.0000 0.6667 0.3333
La1 0.0000 0.7242 0.7242
La2 0.0000 0.0000 0.2758
La3 0.0000 0.2758 0.0000
La4 0.5000 0.6064 0.0000
La5 0.5000 0.0000 0.6064
La6 0.5000 0.3936 0.3936



No. 5
An optimized crystal structure of La5Rh4. Source: Alexandria via LeMat-Bulk, functional PBE-GGA.

energy of formation from the pure elements: -33 kJ per mole of atoms
uncorrected energy: -6.34 eV per atom
energy relative to the lowest polymorph listed for this composition: 0.2776 eV per atom

a = 6.8332 Å, b = 6.8332 Å, c = 6.8332 Å
α = 99.79°, β = 99.79°, γ = 131.29°
Positions (direct):
La1 0.0000 0.0000 0.0000
La2 0.3059 0.3059 0.6118
La3 0.6941 0.6941 0.3882
La4 0.3059 0.6941 0.0000
La5 0.6941 0.3059 0.0000
Rh1 0.0000 0.3440 0.3440
Rh2 0.0000 0.6560 0.6560
Rh3 0.3440 0.0000 0.3440
Rh4 0.6560 0.0000 0.6560



No. 6
An optimized crystal structure of LaRh2. Source: Alexandria via LeMat-Bulk, functional PBE-GGA.

energy of formation from the pure elements: -29 kJ per mole of atoms
uncorrected energy: -6.85 eV per atom

a = 5.5228 Å, b = 5.5228 Å, c = 6.6783 Å
α = 69.51°, β = 69.51°, γ = 38.93°
Positions (direct):
Rh1 0.8346 0.8346 0.0308
Rh2 0.1654 0.1654 0.9692
Rh3 0.2050 0.2050 0.3653
Rh4 0.7950 0.7950 0.6347
La1 0.4793 0.4793 0.2689
La2 0.5207 0.5207 0.7311



No. 7
An optimized crystal structure of La5Rh3. Source: Alexandria via LeMat-Bulk, functional PBE-GGA.

energy of formation from the pure elements: -63 kJ per mole of atoms
uncorrected energy: -6.49 eV per atom
energy relative to the lowest polymorph listed for this composition: 0.0000 eV per atom

a = 10.4163 Å, b = 9.1750 Å, c = 7.5002 Å
α = 92.18°, β = 95.72°, γ = 139.36°
Positions (direct):
La1 0.7261 0.2702 0.4368
La2 0.5489 0.5076 0.2693
La3 0.6289 0.2983 0.9106
La4 0.9841 0.1451 0.3037
La5 0.4502 0.4924 0.7307
La6 0.1232 0.8666 0.1844
La7 0.3702 0.7017 0.0894
La8 0.0151 0.8549 0.6963
La9 0.2731 0.7298 0.5632
La10 0.8759 0.1334 0.8156
Rh1 0.6039 0.8490 0.4613
Rh2 0.7971 0.7608 0.9957
Rh3 0.2021 0.2392 0.0043
Rh4 0.0116 0.5549 0.8103
Rh5 0.9876 0.4451 0.1897
Rh6 0.3952 0.1510 0.5387



No. 8
An optimized crystal structure of La5Rh3. Source: Alexandria via LeMat-Bulk, functional PBE-GGA.

energy of formation from the pure elements: -62 kJ per mole of atoms
uncorrected energy: -6.48 eV per atom
energy relative to the lowest polymorph listed for this composition: 0.0104 eV per atom

a = 6.6316 Å, b = 11.4461 Å, c = 11.4461 Å
α = 90.00°, β = 90.00°, γ = 90.00°
Positions (direct):
La1 0.3925 0.2919 0.0923
La2 0.3925 0.4077 0.7919
La3 0.5000 0.5000 0.5000
La4 0.1075 0.2081 0.5923
La5 0.5000 0.0000 0.0000
La6 0.8925 0.2919 0.9077
La7 0.1075 0.9077 0.7081
La8 0.8925 0.7081 0.0923
La9 0.1075 0.0923 0.2919
La10 0.0000 0.5000 0.5000
La11 0.3925 0.5923 0.2081
La12 0.6075 0.7919 0.5923
La13 0.8925 0.5923 0.7919
La14 0.6075 0.9077 0.2919
La15 0.8925 0.4077 0.2081
La16 0.0000 0.0000 0.0000
La17 0.6075 0.2081 0.4077
La18 0.1075 0.7919 0.4077
La19 0.6075 0.0923 0.7081
La20 0.3925 0.7081 0.9077
Rh1 0.2500 0.6556 0.6556
Rh2 0.2500 0.3444 0.3444
Rh3 0.7500 0.3444 0.6556
Rh4 0.2500 0.8444 0.1556
Rh5 0.6316 0.5000 0.0000
Rh6 0.1316 0.5000 0.0000
Rh7 0.8684 0.0000 0.5000
Rh8 0.7500 0.8444 0.8444
Rh9 0.3684 0.0000 0.5000
Rh10 0.2500 0.1556 0.8444
Rh11 0.7500 0.1556 0.1556
Rh12 0.7500 0.6556 0.3444



No. 9
An optimized crystal structure of La2Rh3. Source: Alexandria via LeMat-Bulk, functional PBE-GGA.

energy of formation from the pure elements: -53 kJ per mole of atoms
uncorrected energy: -6.93 eV per atom

a = 6.8814 Å, b = 6.8814 Å, c = 6.8814 Å
α = 38.22°, β = 38.22°, γ = 38.22°
Positions (direct):
La1 0.4055 0.4055 0.4055
La2 0.5945 0.5945 0.5945
Rh1 0.8410 0.8410 0.8410
Rh2 0.1590 0.1590 0.1590
Rh3 0.0000 0.0000 0.0000



No. 10
An optimized crystal structure of La2Rh3. Source: Alexandria via LeMat-Bulk, functional PBE-GGA.

energy of formation from the pure elements: -40 kJ per mole of atoms
uncorrected energy: -6.79 eV per atom

a = 4.6635 Å, b = 4.6635 Å, c = 6.0626 Å
α = 90.00°, β = 90.00°, γ = 120.00°
Positions (direct):
Rh1 0.6667 0.3333 0.8148
Rh2 0.3333 0.6667 0.1852
Rh3 0.0000 0.0000 0.0000
La1 0.6667 0.3333 0.2900
La2 0.3333 0.6667 0.7100



No. 11
An optimized crystal structure of La2Rh7. Source: Alexandria via LeMat-Bulk, functional PBE-GGA.

energy of formation from the pure elements: -43 kJ per mole of atoms
uncorrected energy: -7.26 eV per atom
energy relative to the lowest polymorph listed for this composition: 0.0131 eV per atom

a = 13.6668 Å, b = 13.6668 Å, c = 13.6668 Å
α = 22.50°, β = 22.50°, γ = 22.50°
Positions (direct):
Rh1 0.3885 0.3885 0.3885
Rh2 0.6099 0.6099 0.1089
Rh3 0.3901 0.8911 0.3901
Rh4 0.5000 0.0000 0.5000
Rh5 0.6099 0.1089 0.6099
Rh6 0.8911 0.3901 0.3901
Rh7 0.1089 0.6099 0.6099
Rh8 0.7220 0.7220 0.7220
Rh9 0.3901 0.3901 0.8911
Rh10 0.0000 0.5000 0.5000
Rh11 0.5000 0.5000 0.0000
Rh12 0.6115 0.6115 0.6115
Rh13 0.5000 0.5000 0.5000
Rh14 0.2780 0.2780 0.2780
La1 0.8533 0.8533 0.8533
La2 0.1467 0.1467 0.1467
La3 0.0505 0.0505 0.0505
La4 0.9495 0.9495 0.9495



No. 12
An optimized crystal structure of LaRh5. Source: Alexandria via LeMat-Bulk, functional PBE-GGA.

energy of formation from the pure elements: -3 kJ per mole of atoms
uncorrected energy: -6.98 eV per atom

a = 5.3653 Å, b = 5.3653 Å, c = 6.8150 Å
α = 77.69°, β = 77.69°, γ = 31.20°
Positions (direct):
La1 0.9904 0.9904 0.9942
Rh1 0.3317 0.3317 0.3482
Rh2 0.6801 0.6801 0.6594
Rh3 0.2587 0.2587 0.9553
Rh4 0.6164 0.6164 0.2908
Rh5 0.9561 0.9561 0.5856